Entry 1:
VASP calculation (GGA-PBE) on an optimized crystal structure of Zn2CoAg2.

Properties
* size of the total moment: 2.17 Bohr magnetons per cell
* D(E_F): 8.43 states/eV/cell
* raw total energy: -2.807 eV/atom
* energy relative to the elements: 264 meV per atom

Cell: 6.3339 6.3339 3.9285 Å, 90.00 90.00 90.00°
Last column: nearest neighbours and their distance in Å.
Space group P4/mbm (No. 127)
One atom of each set of equivalent atoms:
Zn 0.1401 0.3599 0.0000  2 Co 2.45, 1 Zn 2.51, 2 Ag 2.60
Co 0.0000 0.0000 0.0000  4 Zn 2.45
Ag 0.1704 0.6704 0.5000  6 Zn 2.60-2.79

=====

Entry 2:
VASP calculation (GGA-PBE) on an optimized crystal structure of Pr2MgP.

Properties
* size of the total moment: 0.00 Bohr magnetons per cell
* D(E_F): 7.80 states/eV/cell
* raw total energy: -4.818 eV/atom
* energy relative to the elements: -677 meV per atom

Cell: 7.0377 4.0712 8.9065 Å, 90.00 105.25 90.00°
Last column: nearest neighbours and their distance in Å.
Space group Cm (No. 8)
One atom of each set of equivalent atoms:
Pr 0.0000 0.0000 0.0000  3 P 2.87
Pr 0.2047 0.0000 0.6158  3 P 2.87
Mg 0.4357 0.0000 0.3084  6 Pr 3.53-3.54
P 0.1026 0.5000 0.8084  6 Pr 2.87

=====

Entry 3:
VASP calculation (GGA-PBE) on an optimized crystal structure of Sc2V2I.

Properties
* size of the total moment: 0.00 Bohr magnetons per cell
* D(E_F): 7.89 states/eV/cell
* uncorrected formation energy: 1.478 eV per formula unit
* raw total energy: -6.194 eV/atom

Cell: 7.9640 7.9640 3.5694 Å, 90.00 90.00 90.00°
Last column: nearest neighbours and their distance in Å.
Space group P4/mbm (No. 127)
One atom of each set of equivalent atoms:
Sc 0.1947 0.3053 0.0000  2 I 2.88, 6 V 2.98-3.07
V 0.0832 0.5832 0.5000  1 V 1.87
I 0.0000 0.0000 0.0000  4 Sc 2.88

=====

Entry 4:
VASP calculation (GGA-PBE) on an optimized crystal structure of Th7C5N.

Properties
* size of the total moment: 0.00 Bohr magnetons per cell
* D(E_F): 35.97 states/eV/cell
* uncorrected formation energy: -5.130 eV per formula unit
* raw total energy: -8.578 eV/atom

Cell: 12.4264 3.7372 22.5616 Å, 90.00 90.67 90.00°
Last column: nearest neighbours and their distance in Å.
Space group Cm (No. 8)
One atom of each set of equivalent atoms:
Th 0.0000 0.0000 0.0000  6 C 2.65-2.80
Th 0.0010 0.0000 0.5709  6 C 2.65-2.72
Th 0.0546 0.5000 0.1431  1 N 2.53, 5 C 2.64-2.69
Th 0.0565 0.5000 0.4331  5 C 2.53-2.74
Th 0.0980 0.0000 0.2831  2 N 2.49, 2 C 2.54-2.74
Th 0.1797 0.0000 0.7892  2 N 2.48, 2 C 2.55-2.74
Th 0.2217 0.5000 0.9294  1 N 2.52, 5 C 2.64-2.68
Th 0.2241 0.5000 0.6386  5 C 2.53-2.74
Th 0.2761 0.0000 0.0725  6 C 2.65-2.81
Th 0.2797 0.0000 0.5007  6 C 2.65-2.72
Th 0.3214 0.5000 0.3628  3 C 2.45-2.50
Th 0.3321 0.5000 0.2121  3 C 2.44-2.65
Th 0.4447 0.0000 0.8602  3 C 2.44-2.65
Th 0.4590 0.0000 0.7085  3 C 2.45-2.50
C 0.0818 0.0000 0.6800  6 Th 2.50-2.74
C 0.0867 0.0000 0.8894  6 Th 2.55-2.73
C 0.1380 0.5000 0.0363  6 Th 2.64-2.66
C 0.1403 0.5000 0.5359  6 Th 2.53-2.67
C 0.1897 0.0000 0.1829  6 Th 2.54-2.72
C 0.1985 0.0000 0.3916  6 Th 2.50-2.74
C 0.3674 0.0000 0.6118  6 Th 2.45-2.72
C 0.3676 0.0000 0.9592  5 Th 2.44-2.68
C 0.4088 0.5000 0.1129  5 Th 2.44-2.69
C 0.4129 0.5000 0.4597  6 Th 2.45-2.72
N 0.2944 0.5000 0.8255  5 Th 2.48-2.75
N 0.4819 0.0000 0.2473  5 Th 2.49-2.75

=====

Entry 5:
VASP calculation (GGA-PBE) on an optimized crystal structure of HfFe2Br.

Properties
* size of the total moment: 11.80 Bohr magnetons per cell
* D(E_F): 20.04 states/eV/cell
* uncorrected formation energy: 2.613 eV per formula unit
* raw total energy: -6.485 eV/atom

Cell: 6.3203 6.3203 6.3203 Å, 90.00 90.00 90.00°
Last column: nearest neighbours and their distance in Å.
Space group Fm-3m (No. 225)
One atom of each set of equivalent atoms:
Hf 0.0000 0.0000 0.0000  8 Fe 2.74
Fe 0.2500 0.2500 0.2500  4 Hf 2.74, 4 Br 2.74
Br 0.0000 0.0000 0.5000  8 Fe 2.74

=====

Entry 6:
VASP calculation (GGA-PBE) on an optimized crystal structure of Sc2CuOs.

Properties
* size of the total moment: 0.00 Bohr magnetons per cell
* D(E_F): 5.34 states/eV/cell
* raw total energy: -7.206 eV/atom
* energy relative to the elements: -209 meV per atom

Cell: 9.8895 3.2205 4.5922 Å, 90.00 108.19 90.00°
Last column: nearest neighbours and their distance in Å.
Space group Cm (No. 8)
One atom of each set of equivalent atoms:
Sc 0.0000 0.0000 0.0000  3 Cu 2.79-2.90, 4 Os 2.80-2.83, 2 Sc 3.04-3.06
Sc 0.2138 0.0000 0.6475  3 Os 2.77-2.89, 4 Cu 2.80-2.87, 2 Sc 3.04-3.06
Cu 0.2564 0.5000 0.1854  2 Os 2.70, 7 Sc 2.79-2.90
Os 0.4739 0.0000 0.4855  2 Cu 2.70, 7 Sc 2.77-2.89

=====

Copy entry 3 word for word.
VASP calculation (GGA-PBE) on an optimized crystal structure of Sc2V2I.

Properties
* size of the total moment: 0.00 Bohr magnetons per cell
* D(E_F): 7.89 states/eV/cell
* uncorrected formation energy: 1.478 eV per formula unit
* raw total energy: -6.194 eV/atom

Cell: 7.9640 7.9640 3.5694 Å, 90.00 90.00 90.00°
Last column: nearest neighbours and their distance in Å.
Space group P4/mbm (No. 127)
One atom of each set of equivalent atoms:
Sc 0.1947 0.3053 0.0000  2 I 2.88, 6 V 2.98-3.07
V 0.0832 0.5832 0.5000  1 V 1.87
I 0.0000 0.0000 0.0000  4 Sc 2.88